No. 1
A plane-wave DFT calculation with PBE was carried out for crystalline LiZrTl4 at its relaxed geometry.

Values from the calculation:
**Total moment**: 6.8 μB per cell
**Total energy**: -17.59 eV per formula unit
**Formation energy from the elements**: 390 meV per atom
**D(E_F)**: 6.58 states/eV/f.u.

Cell and atoms, written as CIF:
```
data_LiZrTl4
_space_group_name_H-M_alt 'F -4 3 m'
_space_group_IT_number 216
_space_group_name_Hall 'F -4 2 3'
_cell_length_a 8.694
_cell_length_b 8.694
_cell_length_c 8.694
_cell_angle_alpha 90.00
_cell_angle_beta 90.00
_cell_angle_gamma 90.00
loop_
_atom_site_label
_atom_site_type_symbol
_atom_site_fract_x
_atom_site_fract_y
_atom_site_fract_z
Li1 Li 0.000 0.000 0.000
Zr1 Zr 0.250 0.250 0.250
Tl1 Tl 0.125 0.125 0.625
```

***

No. 2
A plane-wave DFT calculation with PBE was carried out for crystalline Ac6Pt2RhBr3 at its relaxed geometry.

Values from the calculation:
**Total moment**: 0.0 μB per cell
**Total energy**: -64.53 eV per formula unit
**Formation energy (no corrections)**: -124.0 kJ/mol of atoms
**D(E_F)**: 8.12 states/eV/f.u.

Cell and atoms, written as CIF:
```
data_Ac6Pt2RhBr3
_space_group_name_H-M_alt 'C 1 2/m 1'
_space_group_IT_number 12
_cell_length_a 20.860
_cell_length_b 4.418
_cell_length_c 9.702
_cell_angle_alpha 90.00
_cell_angle_beta 110.62
_cell_angle_gamma 90.00
loop_
_space_group_symop_operation_xyz
'x,y,z'
'-x,-y,-z'
'-x,y,-z'
'x,-y,z'
'x+1/2,y+1/2,z'
'-x+1/2,-y+1/2,-z'
'-x+1/2,y+1/2,-z'
'x+1/2,-y+1/2,z'
loop_
_atom_site_label
_atom_site_type_symbol
_atom_site_fract_x
_atom_site_fract_y
_atom_site_fract_z
Ac1 Ac 0.011 0.000 0.215
Ac2 Ac 0.152 0.500 0.110
Ac3 Ac 0.178 0.500 0.553
Pt1 Pt 0.167 0.000 0.333
Rh1 Rh 0.000 0.500 0.000
Br1 Br 0.000 0.500 0.500
Br2 Br 0.166 0.000 0.830
```

***

No. 3
A plane-wave DFT calculation with PBE was carried out for crystalline YF at its relaxed geometry.

Values from the calculation:
**Total moment**: 1.1 μB per cell
**Total energy**: -12.32 eV per formula unit
**Formation energy (no corrections)**: -192.3 kJ/mol of atoms
**D(E_F)**: 2.57 states/eV/f.u.

Cell and atoms, written as CIF:
```
data_YF
_space_group_name_H-M_alt 'F m -3 m'
_space_group_IT_number 225
_space_group_name_Hall '-F 4 2 3'
_cell_length_a 5.178
_cell_length_b 5.178
_cell_length_c 5.178
_cell_angle_alpha 90.00
_cell_angle_beta 90.00
_cell_angle_gamma 90.00
loop_
_atom_site_label
_atom_site_type_symbol
_atom_site_fract_x
_atom_site_fract_y
_atom_site_fract_z
Y1 Y 0.000 0.000 0.000
F1 F 0.000 0.000 0.500
```

***

No. 4
A plane-wave DFT calculation with PBE was carried out for crystalline MgAg2Os at its relaxed geometry.

Values from the calculation:
**Total moment**: 0.0 μB per cell
**Total energy**: -17.10 eV per formula unit
**Formation energy from the elements**: 356 meV per atom
**D(E_F)**: 2.61 states/eV/f.u.

Cell and atoms, written as CIF:
```
data_MgAg2Os
_space_group_name_H-M_alt 'C 1 m 1'
_space_group_IT_number 8
_cell_length_a 9.505
_cell_length_b 2.750
_cell_length_c 5.142
_cell_angle_alpha 90.00
_cell_angle_beta 98.60
_cell_angle_gamma 90.00
loop_
_space_group_symop_operation_xyz
'x,y,z'
'x,-y,z'
'x+1/2,y+1/2,z'
'x+1/2,-y+1/2,z'
loop_
_atom_site_label
_atom_site_type_symbol
_atom_site_fract_x
_atom_site_fract_y
_atom_site_fract_z
Mg1 Mg 0.000 0.000 0.000
Ag1 Ag 0.006 0.500 0.517
Ag2 Ag 0.252 0.500 0.272
Os1 Os 0.254 0.000 0.777
```

***

- Which value of total energy does entry 1 give?
  -17.59 eV per formula unit

***

- Which of these has the highest total energy?
  YF

***

- Which value of total energy does entry 2 give?
  -64.53 eV per formula unit